{"formula": "VMoO5", "functional": "PBE+U", "state": "relaxed", "density_kg_m3": 4170, "crystal_system": "monoclinic", "final_energy_ev_per_atom": -7.296, "lattice_angstrom": [[-0.522, -2.761, 2.584], [-1.395, -4.458, -2.226], [4.349, -2.994, 0.499]], "species": ["O", "O", "O", "O", "O", "Mo", "V"], "fractional_positions": [[0.570, 0.592, 0.268], [0.279, 0.691, 0.751], [0.075, 0.268, 0.583], [0.433, 0.131, 0.003], [0.796, 0.997, 0.410], [0.356, 0.952, 0.337], [0.492, 0.369, 0.648]]}